# 1
Density functional theory data (SCAN) for a crystal of Sr2Tl relaxed with PBEsol.

Structure (POSCAR):
```
Sr2Tl
1.0
-3.9321 4.7412 2.7926
-2.7576 -3.2531 -5.2490
1.1742 -4.6369 4.7812
Sr Tl
4 2
direct
0.3178 0.8178 0.1355 Sr
0.6822 0.1822 0.8645 Sr
0.8178 0.6822 0.5000 Sr
0.1822 0.3178 0.5000 Sr
0.2500 0.2500 0.0000 Tl
0.7500 0.7500 0.0000 Tl
```

=====

# 2
Tl2FeIr | Alexandria via LeMat-Bulk | SCAN | PBEsol geometry; polymorph energy (0 for the lowest one) = 10.348 kcal/mol of atoms
1.0
-4.3980 -1.0692 1.2474
-2.3295 -3.3811 -2.2765
-0.9068 -4.0776 2.1430
Fe Ir Tl
1 1 2
direct
0.5000 0.5000 0.5000 Fe
0.2500 0.2500 0.2500 Ir
0.0000 0.0000 0.0000 Tl
0.7500 0.7500 0.7500 Tl

=====

no.,energy relative to the elements (eV/atom)
1,-0.437
2,0.754